Material: PmGaTe
Method: DFT, PBE
State: relaxed

Calculated values
Offset from the most stable computed form (meV/atom): 73.4

```
data_PmGaTe
_chemical_formula_sum 'Pm4 Ga4 Te4'
_symmetry_space_group_name_H-M 'F -4 3 m'
_symmetry_Int_Tables_number 216
_symmetry_space_group_name_Hall 'F -4 2 3'
_cell_length_a 7.2528
_cell_length_b 7.2528
_cell_length_c 7.2528
_cell_angle_alpha 90.00
_cell_angle_beta 90.00
_cell_angle_gamma 90.00
loop_
_atom_site_label
_atom_site_type_symbol
_atom_site_fract_x
_atom_site_fract_y
_atom_site_fract_z
Pm1 Pm 0.0000 0.0000 0.0000
Ga1 Ga 0.2500 0.2500 0.7500
Te1 Te 0.2500 0.2500 0.2500
```

---

Material: PmThGa6
Method: DFT, PBE
State: relaxed

```
data_PmThGa6
_chemical_formula_sum 'Pm1 Th1 Ga6'
_symmetry_space_group_name_H-M 'P -6 m 2'
_symmetry_Int_Tables_number 187
_symmetry_space_group_name_Hall 'P -6 2'
_cell_length_a 6.4306
_cell_length_b 6.4306
_cell_length_c 4.5988
_cell_angle_alpha 90.00
_cell_angle_beta 90.00
_cell_angle_gamma 120.00
loop_
_atom_site_label
_atom_site_type_symbol
_atom_site_fract_x
_atom_site_fract_y
_atom_site_fract_z
Pm1 Pm 0.0000 0.0000 0.0000
Th1 Th 0.3333 0.6667 0.5000
Ga1 Ga 0.3780 0.1890 0.5000
Ga2 Ga 0.5245 0.0490 0.0000
```

---

Number 1: calculated total energy -4.04 eV/atom, mass density 5.96 g cm⁻³, V 382 Å³ per cell. Number 2: calculated total energy -4.34 eV/atom, mass density 8.02 g cm⁻³, V 165 Å³ per cell.